(1)
A geometry-optimized PrDy2TcN4 structure, computed with GGA-PBE.

Calculated values
Energy: -132.60 eV for the cell shown
Energy relative to the elements, uncorrected: -1.081 eV/atom
SG: Cmcm (63)

```
data_PrDy2TcN4
_chemical_formula_sum 'Pr2 Dy4 Tc2 N8'
_cell_length_a 6.132
_cell_length_b 6.132
_cell_length_c 11.625
_cell_angle_alpha 90.00
_cell_angle_beta 90.00
_cell_angle_gamma 147.05
_symmetry_space_group_name_H-M 'P 1'
_symmetry_Int_Tables_number 1
_symmetry_space_group_name_Hall 'P 1'
loop_
_atom_site_label
_atom_site_fract_x
_atom_site_fract_y
_atom_site_fract_z
Pr1 0.120 0.880 0.750
Pr2 0.880 0.120 0.250
Dy1 0.369 0.631 0.540
Dy2 0.369 0.631 0.960
Dy3 0.631 0.369 0.040
Dy4 0.631 0.369 0.460
Tc1 0.144 0.856 0.250
Tc2 0.856 0.144 0.750
N1 0.000 0.000 0.000
N2 0.000 0.000 0.500
N3 0.263 0.737 0.127
N4 0.263 0.737 0.373
N5 0.437 0.563 0.750
N6 0.563 0.437 0.250
N7 0.737 0.263 0.627
N8 0.737 0.263 0.873
```



(2)
A geometry-optimized PrDyTh2N4 structure, computed with GGA-PBE.

Calculated values
Energy: -69.85 eV for the cell shown
Energy relative to the elements, uncorrected: -1.541 eV/atom
SG: P2/m (10)

```
data_PrDyTh2N4
_chemical_formula_sum 'Pr1 Dy1 Th2 N4'
_cell_length_a 6.250
_cell_length_b 3.636
_cell_length_c 6.309
_cell_angle_alpha 90.00
_cell_angle_beta 109.55
_cell_angle_gamma 90.00
_symmetry_space_group_name_H-M 'P 1'
_symmetry_Int_Tables_number 1
_symmetry_space_group_name_Hall 'P 1'
loop_
_atom_site_label
_atom_site_fract_x
_atom_site_fract_y
_atom_site_fract_z
Pr1 0.000 0.000 0.000
Dy1 0.000 0.500 0.500
Th1 0.500 0.000 0.500
Th2 0.500 0.500 0.000
N1 0.254 0.000 0.743
N2 0.261 0.500 0.262
N3 0.739 0.500 0.738
N4 0.746 0.000 0.257
```



(3)
A geometry-optimized PrDyTiN3 structure, computed with GGA-PBE.

Calculated values
Energy: -100.11 eV for the cell shown
Energy relative to the elements, uncorrected: -1.300 eV/atom
SG: P2_1/m (11)

```
data_PrDyTiN3
_chemical_formula_sum 'Pr2 Dy2 Ti2 N6'
_cell_length_a 7.303
_cell_length_b 3.570
_cell_length_c 7.759
_cell_angle_alpha 90.00
_cell_angle_beta 98.70
_cell_angle_gamma 90.00
_symmetry_space_group_name_H-M 'P 1'
_symmetry_Int_Tables_number 1
_symmetry_space_group_name_Hall 'P 1'
loop_
_atom_site_label
_atom_site_fract_x
_atom_site_fract_y
_atom_site_fract_z
Pr1 0.172 0.250 0.174
Pr2 0.828 0.750 0.826
Dy1 0.367 0.750 0.844
Dy2 0.633 0.250 0.156
Ti1 0.103 0.250 0.598
Ti2 0.897 0.750 0.402
N1 0.115 0.250 0.848
N2 0.170 0.750 0.518
N3 0.407 0.750 0.140
N4 0.593 0.250 0.860
N5 0.830 0.250 0.482
N6 0.885 0.750 0.152
```



(4)
A geometry-optimized PrDy2UN4 structure, computed with GGA-PBE.

Calculated values
Energy: -70.57 eV for the cell shown
Energy relative to the elements, uncorrected: -1.499 eV/atom
SG: P2/m (10)

```
data_PrDy2UN4
_chemical_formula_sum 'Pr1 Dy2 U1 N4'
_cell_length_a 6.044
_cell_length_b 3.510
_cell_length_c 6.117
_cell_angle_alpha 90.00
_cell_angle_beta 109.09
_cell_angle_gamma 90.00
_symmetry_space_group_name_H-M 'P 1'
_symmetry_Int_Tables_number 1
_symmetry_space_group_name_Hall 'P 1'
loop_
_atom_site_label
_atom_site_fract_x
_atom_site_fract_y
_atom_site_fract_z
Pr1 0.000 0.000 0.000
Dy1 0.500 0.000 0.500
Dy2 0.500 0.500 0.000
U1 0.000 0.500 0.500
N1 0.244 0.500 0.281
N2 0.245 0.000 0.732
N3 0.755 0.000 0.268
N4 0.756 0.500 0.719
```



(5)
A geometry-optimized PrDy2VN4 structure, computed with GGA-PBE.

Calculated values
Energy: -134.55 eV for the cell shown
Energy relative to the elements, uncorrected: -1.359 eV/atom
SG: Cmcm (63)

```
data_PrDy2VN4
_chemical_formula_sum 'Pr2 Dy4 V2 N8'
_cell_length_a 6.147
_cell_length_b 6.147
_cell_length_c 11.755
_cell_angle_alpha 90.00
_cell_angle_beta 90.00
_cell_angle_gamma 147.85
_symmetry_space_group_name_H-M 'P 1'
_symmetry_Int_Tables_number 1
_symmetry_space_group_name_Hall 'P 1'
loop_
_atom_site_label
_atom_site_fract_x
_atom_site_fract_y
_atom_site_fract_z
Pr1 0.084 0.916 0.750
Pr2 0.916 0.084 0.250
Dy1 0.370 0.630 0.542
Dy2 0.370 0.630 0.958
Dy3 0.630 0.370 0.042
Dy4 0.630 0.370 0.458
V1 0.175 0.825 0.250
V2 0.825 0.175 0.750
N1 0.000 0.000 0.000
N2 0.000 0.000 0.500
N3 0.263 0.737 0.125
N4 0.263 0.737 0.375
N5 0.419 0.581 0.750
N6 0.581 0.419 0.250
N7 0.737 0.263 0.625
N8 0.737 0.263 0.875
```



(6)
A geometry-optimized Pr2DyZrN4 structure, computed with GGA-PBE.

Calculated values
Energy: -67.99 eV for the cell shown
Energy relative to the elements, uncorrected: -1.497 eV/atom
SG: P2/m (10)

```
data_Pr2DyZrN4
_chemical_formula_sum 'Pr2 Dy1 Zr1 N4'
_cell_length_a 6.057
_cell_length_b 3.493
_cell_length_c 6.133
_cell_angle_alpha 90.00
_cell_angle_beta 109.02
_cell_angle_gamma 90.00
_symmetry_space_group_name_H-M 'P 1'
_symmetry_Int_Tables_number 1
_symmetry_space_group_name_Hall 'P 1'
loop_
_atom_site_label
_atom_site_fract_x
_atom_site_fract_y
_atom_site_fract_z
Pr1 0.000 0.000 0.000
Pr2 0.500 0.500 0.000
Dy1 0.000 0.500 0.500
Zr1 0.500 0.000 0.500
N1 0.254 0.000 0.725
N2 0.269 0.500 0.279
N3 0.731 0.500 0.721
N4 0.746 0.000 0.275
```



| no. | magnetization (μB per formula unit) |
| --- | --- |
| 1 | 0.000 |
| 2 | 0.000 |
| 3 | 0.000 |
| 4 | 1.365 |
| 5 | 0.196 |
| 6 | 0.000 |